[1]
Entry from Alexandria via LeMat-Bulk: crystalline LiHo3Sc3S8 at its relaxed geometry (GGA-PBE).

Calculated values
E = -6.4370 eV per atom
density of states at the Fermi level = 4.25 states/eV/f.u.
formation energy without anion corrections = -2788 kJ/mol of formula units
crystal system = trigonal
space-group type = R-3m

Cell lengths 7.545, 7.545, 7.545 Å; angles 59.76, 59.76, 59.76 degrees
Positions (direct):
Li 0.000 0.000 0.000
Ho 0.000 0.000 0.500
Ho 0.000 0.500 0.000
Ho 0.500 0.000 0.000
Sc 0.000 0.500 0.500
Sc 0.500 0.000 0.500
Sc 0.500 0.500 0.000
S 0.247 0.247 0.743
S 0.247 0.743 0.247
S 0.255 0.255 0.255
S 0.257 0.753 0.753
S 0.743 0.247 0.247
S 0.745 0.745 0.745
S 0.753 0.257 0.753
S 0.753 0.753 0.257

=====

[2]
Entry from Alexandria via LeMat-Bulk: crystalline CsCaAg2 at its relaxed geometry (GGA-PBE).

Calculated values
E = -2.2455 eV per atom
density of states at the Fermi level = 1.51 states/eV/f.u.
ΔE to the lowest computed polymorph = 0.0000 eV per atom
energy of formation from the pure elements = -41 kJ/mol of formula units
crystal system = tetragonal
space-group type = P4/mmm

Cell lengths 4.028, 4.028, 8.372 Å; angles 90.00, 90.00, 90.00 degrees
Positions (direct):
Cs 0.000 0.000 0.000
Ca 0.000 0.000 0.500
Ag 0.500 0.500 0.327
Ag 0.500 0.500 0.673

=====

[3]
Entry from Alexandria via LeMat-Bulk: crystalline TbNdTm2Th at its relaxed geometry (GGA-PBE).

Calculated values
E = -4.8337 eV per atom
density of states at the Fermi level = 6.26 states/eV/f.u.
energy of formation from the pure elements = 154 kJ/mol of formula units
crystal system = monoclinic
space-group type = P2/c

Cell lengths 8.572, 6.445, 6.304 Å; angles 90.00, 100.80, 90.00 degrees
Positions (direct):
Tb 0.000 0.000 0.000
Tb 0.000 0.000 0.500
Nd 0.500 0.172 0.250
Nd 0.500 0.828 0.750
Tm 0.312 0.321 0.693
Tm 0.312 0.679 0.193
Tm 0.688 0.321 0.807
Tm 0.688 0.679 0.307
Th 0.000 0.447 0.250
Th 0.000 0.553 0.750

=====

What are the total magnetization values for these records? In order: 0.0; 0.0; 0.0 μB per formula unit.